1.
VASP calculation (PBE) on a relaxed CaBeSi2 crystal.

Lattice parameters (Å, degrees): 8.049 8.049 8.049 23.55 23.55 23.55
Fractional coordinates of all 4 atoms:
Si  0.519  0.519  0.519
Be  0.250  0.250  0.250
Si  0.981  0.981  0.981
Ca  0.750  0.750  0.750

Properties
M_tot = 0.00 μB/f.u.
Formation energy without anion corrections = 0.349 eV/atom
Space-group type = R-3m (166)

2.
VASP calculation (PBE) on a relaxed UCuPd crystal.

Lattice parameters (Å, degrees): 3.220 3.220 11.697 72.78 72.78 68.49
Fractional coordinates of all 6 atoms:
U  0.551  0.551  0.237
Pd  0.738  0.738  0.432
U  0.202  0.202  0.071
Cu  0.513  0.513  0.719
Pd  0.015  0.015  0.875
Cu  0.240  0.240  0.588

Properties
Energy relative to the elements = 0.006 eV/atom
M_tot = 0.00 μB/f.u.
Energy above the lowest structure with this stoichiometry = 27 meV per atom
Space-group type = C2/m (12)

3.
VASP calculation (PBE) on a relaxed HfCrAgS4 crystal.

Lattice parameters (Å, degrees): 6.617 7.704 13.103 98.80 95.28 90.43
Fractional coordinates of all 28 atoms:
Hf  0.152  0.710  0.296
S  0.213  0.781  0.624
S  0.680  0.507  0.637
S  0.591  0.938  0.113
S  0.665  0.052  0.646
Hf  0.244  0.888  0.000
Cr  0.837  0.293  0.714
S  0.424  0.071  0.886
Hf  0.354  0.545  0.706
S  0.327  0.465  0.353
Hf  0.770  0.126  0.000
S  0.876  0.344  0.886
Ag  0.870  0.794  0.694
Cr  0.363  0.047  0.707
S  0.914  0.869  0.892
S  0.095  0.137  0.112
S  0.377  0.606  0.891
S  0.803  0.718  0.348
Ag  0.754  0.645  0.000
Cr  0.643  0.962  0.293
S  0.139  0.663  0.112
S  0.763  0.234  0.354
Ag  0.257  0.345  0.999
Cr  0.631  0.455  0.283
S  0.632  0.404  0.112
Ag  0.115  0.175  0.312
S  0.156  0.269  0.652
S  0.354  0.961  0.378

Properties
M_tot = 3.00 μB/f.u.
Formation energy without anion corrections = -0.730 eV/atom
Energy above the lowest structure with this stoichiometry = 214 meV per atom
Space-group type = P1 (1)